Record 1
Material: LiRhAu2
Method: DFT, GGA-PBE
State: relaxed

Cell lengths 2.976, 4.656, 9.308 Å; angles 90.00, 90.00, 90.00 degrees
Space group Cmm2 (No. 35)
Symmetry-distinct sites (fractional):
Li (0.000, 0.000, 0.000) (multiplicity 2)
Rh (0.000, 0.500, 0.225) (multiplicity 2)
Au (0.000, 0.000, 0.481) (multiplicity 2)
Au (0.000, 0.500, 0.762) (multiplicity 2)

Output
- DFT formation energy (eV per atom) = -0.0390



Record 2
Material: Ag5Os
Method: DFT, GGA-PBE
State: relaxed

Cell lengths 5.2815, 5.2815, 4.7922 Å; angles 90.00, 90.00, 120.00 degrees
Space group P6/mmm (No. 191)
Symmetry-distinct sites (fractional):
Ag (0.0000, 0.5000, 0.0000) (multiplicity 3)
Ag (0.3333, 0.6667, 0.5000) (multiplicity 2)
Os (0.0000, 0.0000, 0.5000) (multiplicity 1)

Output
- DFT formation energy (eV per atom) = 0.9328
- offset from the most stable computed form (kJ/mol of formula units) = 307.9



Record 3
Material: NbOsC3
Method: DFT, GGA-PBE
State: relaxed

Cell lengths 3.930, 3.930, 3.930 Å; angles 90.00, 90.00, 90.00 degrees
Space group Pm-3m (No. 221)
Symmetry-distinct sites (fractional):
Nb (0.000, 0.000, 0.000) (multiplicity 1)
Os (0.500, 0.500, 0.500) (multiplicity 1)
C (0.000, 0.500, 0.500) (multiplicity 3)

Output
- DFT formation energy (eV per atom) = 1.8322
- offset from the most stable computed form (kJ/mol of formula units) = 0.0



Record 4
Material: TiCdPtN2
Method: DFT, GGA-PBE
State: relaxed

Cell lengths 3.817, 3.817, 6.677 Å; angles 90.00, 90.00, 90.00 degrees
Space group P4/mmm (No. 123)
Symmetry-distinct sites (fractional):
Ti (0.000, 0.000, 0.000) (multiplicity 1)
Cd (0.000, 0.000, 0.500) (multiplicity 1)
Pt (0.500, 0.500, 0.500) (multiplicity 1)
N (0.000, 0.500, 0.000) (multiplicity 2)

Output
- raw formation energy (meV per atom) = 698



Record 5
Material: MgTe2P
Method: DFT, GGA-PBE
State: relaxed

Cell lengths 6.134, 8.233, 4.112 Å; angles 90.00, 90.00, 90.00 degrees
Space group Cmmm (No. 65)
Symmetry-distinct sites (fractional):
Mg (0.000, 0.000, 0.000) (multiplicity 2)
Te (0.000, 0.264, 0.500) (multiplicity 4)
P (0.000, 0.500, 0.000) (multiplicity 2)

Output
- offset from the most stable computed form (kJ/mol of formula units) = 61.9
- raw formation energy (meV per atom) = -56



Record 6
Material: NaLiTc2O6
Method: DFT, GGA-PBE
State: relaxed

Cell lengths 10.905, 10.045, 5.632 Å; angles 90.00, 105.41, 90.00 degrees
Space group C2/c (No. 15)
Symmetry-distinct sites (fractional):
Na (0.000, 0.100, 0.250) (multiplicity 4)
Li (0.000, 0.229, 0.750) (multiplicity 4)
Tc (0.209, 0.404, 0.247) (multiplicity 8)
O (0.107, 0.278, 0.085) (multiplicity 8)
O (0.121, 0.097, 0.664) (multiplicity 8)
O (0.165, 0.442, 0.545) (multiplicity 8)

Output
- raw formation energy (meV per atom) = -1450



Record 7
Material: Tb2PmHoEr4
Method: DFT, GGA-PBE
State: relaxed

Cell lengths 13.521, 13.228, 6.766 Å; angles 90.00, 120.02, 90.00 degrees
Space group C2/c (No. 15)
Symmetry-distinct sites (fractional):
Tb (0.000, 0.000, 0.000) (multiplicity 4)
Tb (0.250, 0.250, 0.000) (multiplicity 4)
Pm (0.250, 0.250, 0.500) (multiplicity 4)
Ho (0.000, 0.500, 0.000) (multiplicity 4)
Er (0.000, 0.251, 0.501) (multiplicity 8)
Er (0.249, 0.499, 0.997) (multiplicity 8)

Output
- DFT formation energy (eV per atom) = 0.4418



Record 8
Material: KCa4Si
Method: DFT, GGA-PBE
State: relaxed

Cell lengths 9.878, 9.878, 9.878 Å; angles 90.00, 90.00, 90.00 degrees
Space group F-43m (No. 216)
Symmetry-distinct sites (fractional):
K (0.000, 0.000, 0.000) (multiplicity 4)
Ca (0.123, 0.123, 0.377) (multiplicity 16)
Si (0.250, 0.250, 0.750) (multiplicity 4)

Output
- raw formation energy (meV per atom) = 472



Record 9
Material: Pr2ScAg
Method: DFT, GGA-PBE
State: relaxed

Cell lengths 3.5661, 3.5661, 31.6434 Å; angles 90.00, 90.00, 120.00 degrees
Space group R3m (No. 160, hexagonal axes)
Symmetry-distinct sites (fractional):
Pr (0.0000, 0.0000, 0.0000) (multiplicity 3)
Pr (0.0000, 0.0000, 0.1739) (multiplicity 3)
Sc (0.0000, 0.0000, 0.4199) (multiplicity 3)
Ag (0.0000, 0.0000, 0.5876) (multiplicity 3)

Output
- DFT formation energy (eV per atom) = 0.0384
- offset from the most stable computed form (kJ/mol of formula units) = 43.2



Record 10
Material: EuTmTlAu
Method: DFT, GGA-PBE
State: relaxed

Cell lengths 7.496, 7.496, 7.496 Å; angles 90.00, 90.00, 90.00 degrees
Space group F-43m (No. 216)
Symmetry-distinct sites (fractional):
Eu (0.000, 0.000, 0.000) (multiplicity 4)
Tm (0.000, 0.000, 0.500) (multiplicity 4)
Tl (0.250, 0.250, 0.250) (multiplicity 4)
Au (0.250, 0.250, 0.750) (multiplicity 4)

Output
- DFT formation energy (eV per atom) = -0.5279



Record 11
Material: ZrVTcW
Method: DFT, GGA-PBE
State: relaxed

Cell lengths 6.383, 6.383, 6.383 Å; angles 90.00, 90.00, 90.00 degrees
Space group F-43m (No. 216)
Symmetry-distinct sites (fractional):
Zr (0.000, 0.000, 0.000) (multiplicity 4)
V (0.250, 0.250, 0.750) (multiplicity 4)
Tc (0.250, 0.250, 0.250) (multiplicity 4)
W (0.000, 0.000, 0.500) (multiplicity 4)

Output
- DFT formation energy (eV per atom) = -0.0896



Record 12
Material: TlV2Se4
Method: DFT, GGA-PBE
State: relaxed

Cell lengths 16.497, 3.404, 6.041 Å; angles 90.00, 104.81, 90.00 degrees
Space group C2/m (No. 12)
Symmetry-distinct sites (fractional):
Tl (0.000, 0.000, 0.000) (multiplicity 2)
V (0.245, 0.500, 0.694) (multiplicity 4)
Se (0.142, 0.000, 0.505) (multiplicity 4)
Se (0.170, 0.500, 0.021) (multiplicity 4)

Output
- raw formation energy (meV per atom) = -650